Compound: GaFe3Sb
Source: the Alexandria database
Functional: GGA-PBEsol
Structure: relaxed

Cell lengths 4.7059, 4.7059, 4.7059 Å; angles 90.00, 90.00, 90.00 degrees
With the nearest neighbours (Å) after each atom.
Sites, in units of the cell vectors:
Ga1 0.0000 0.0000 0.0000  12 Fe 3.33
Fe1 0.0000 0.5000 0.5000  2 Sb 2.35
Fe2 0.5000 0.0000 0.5000  2 Sb 2.35
Fe3 0.5000 0.5000 0.0000  2 Sb 2.35
Sb1 0.5000 0.5000 0.5000  6 Fe 2.35

## Properties
For the total magnetization, the calculation gives 1.614 μB/atom. The symmetry is Pm-3m (221). The density of states at the Fermi level comes out at 9.34 states/eV/cell. Its formation energy (no corrections) is 1.311 eV per atom.

=====

Compound: FeCoRu2
Source: the Alexandria database
Functional: GGA-PBEsol
Structure: relaxed

Cell lengths 4.0909, 4.0909, 4.0909 Å; angles 60.00, 60.00, 60.00 degrees
With the nearest neighbours (Å) after each atom.
Sites, in units of the cell vectors:
Fe1 0.0000 0.0000 0.0000  8 Ru 2.51
Co1 0.5000 0.5000 0.5000  8 Ru 2.51
Ru1 0.2500 0.2500 0.2500  4 Fe 2.51, 4 Co 2.51
Ru2 0.7500 0.7500 0.7500  4 Fe 2.51, 4 Co 2.51

## Properties
For the total magnetization, the calculation gives 1.036 μB/atom. The value obtained for the energy above the most stable polymorph in this dataset is 0.00 kJ/mol of atoms. The symmetry is Fm-3m (225). The formation energy is 296 meV/atom. The density of states at the Fermi level comes out at 5.86 states/eV/cell.

=====

Compound: Sr2MgIn2
Source: the Alexandria database
Functional: GGA-PBEsol
Structure: relaxed

Cell lengths 8.0183, 8.0183, 5.0134 Å; angles 90.00, 90.00, 90.00 degrees
With the nearest neighbours (Å) after each atom.
Sites, in units of the cell vectors:
Sr1 0.1700 0.3300 0.0000  6 In 3.37-3.50
Sr2 0.3300 0.8300 0.0000  6 In 3.37-3.50
Sr3 0.6700 0.1700 0.0000  6 In 3.37-3.50
Sr4 0.8300 0.6700 0.0000  6 In 3.37-3.50
Mg1 0.0000 0.0000 0.5000  4 In 3.14
Mg2 0.5000 0.5000 0.5000  4 In 3.14
In1 0.1318 0.6318 0.5000  1 In 2.99, 2 Mg 3.14
In2 0.3682 0.1318 0.5000  1 In 2.99, 2 Mg 3.14
In3 0.6318 0.8682 0.5000  1 In 2.99, 2 Mg 3.14
In4 0.8682 0.3682 0.5000  1 In 2.99, 2 Mg 3.14

## Properties
For the total magnetization, the calculation gives 0.000 μB/atom. The symmetry is P4/mbm (127). The formation energy is -319 meV/atom. The density of states at the Fermi level comes out at 8.45 states/eV/cell.

=====

Compound: Os3CSe
Source: the Alexandria database
Functional: GGA-PBEsol
Structure: relaxed

Cell lengths 4.0713, 4.0713, 4.0713 Å; angles 90.00, 90.00, 90.00 degrees
With the nearest neighbours (Å) after each atom.
Sites, in units of the cell vectors:
Os1 0.0000 0.0000 0.5000  2 C 2.04
Os2 0.0000 0.5000 0.0000  2 C 2.04
Os3 0.5000 0.0000 0.0000  2 C 2.04
C1 0.0000 0.0000 0.0000  6 Os 2.04
Se1 0.5000 0.5000 0.5000  12 Os 2.88

## Properties
For the total magnetization, the calculation gives 0.000 μB/atom. The symmetry is Pm-3m (221). The density of states at the Fermi level comes out at 2.18 states/eV/cell. Its formation energy (no corrections) is 0.926 eV per atom.

=====

Compound: SrIrPdRh2
Source: the Alexandria database
Functional: GGA-PBEsol
Structure: relaxed

Cell lengths 4.7656, 4.7656, 4.7695 Å; angles 90.00, 90.00, 90.00 degrees
With the nearest neighbours (Å) after each atom.
Sites, in units of the cell vectors:
Sr1 0.0000 0.0000 0.0000  4 Ir 3.37, 8 Rh 3.37
Ir1 0.5000 0.5000 0.0000  2 Pd 2.38
Pd1 0.5000 0.5000 0.5000  4 Rh 2.38, 2 Ir 2.38
Rh1 0.0000 0.5000 0.5000  2 Pd 2.38
Rh2 0.5000 0.0000 0.5000  2 Pd 2.38

## Properties
For the total magnetization, the calculation gives 0.525 μB/atom. The symmetry is P4/mmm (123). The formation energy is 1062 meV/atom. The density of states at the Fermi level comes out at 8.00 states/eV/cell.

=====

Compound: FePt2
Source: the Alexandria database
Functional: GGA-PBEsol
Structure: relaxed

Cell lengths 4.3589, 4.3589, 2.6548 Å; angles 90.00, 90.00, 120.00 degrees
With the nearest neighbours (Å) after each atom.
Sites, in units of the cell vectors:
Fe1 0.0000 0.0000 0.0000  2 Fe 2.65, 12 Pt 2.85
Pt1 0.3333 0.6667 0.5000  5 Pt 2.52-2.65
Pt2 0.6667 0.3333 0.5000  5 Pt 2.52-2.65

## Properties
For the total magnetization, the calculation gives 1.085 μB/atom. The symmetry is P6/mmm (191). The formation energy is 88 meV/atom. The density of states at the Fermi level comes out at 3.39 states/eV/cell.

=====

Compound: NaAl3F
Source: the Alexandria database
Functional: GGA-PBEsol
Structure: relaxed

Cell lengths 5.1939, 5.1939, 5.1939 Å; angles 90.00, 90.00, 90.00 degrees
With the nearest neighbours (Å) after each atom.
Sites, in units of the cell vectors:
Na1 0.0000 0.0000 0.0000  6 Al 2.60
Al1 0.0000 0.0000 0.5000  2 Na 2.60
Al2 0.0000 0.5000 0.0000  2 Na 2.60
Al3 0.5000 0.0000 0.0000  2 Na 2.60
F1 0.5000 0.5000 0.5000  12 Al 3.67

## Properties
For the total magnetization, the calculation gives 0.000 μB/atom. The symmetry is Pm-3m (221). The density of states at the Fermi level comes out at 2.85 states/eV/cell. Its formation energy (no corrections) is 0.866 eV per atom.

=====

Compound: BaScMo2
Source: the Alexandria database
Functional: GGA-PBEsol
Structure: relaxed

Cell lengths 2.8779, 2.8779, 10.2406 Å; angles 90.00, 90.00, 98.47 degrees
With the nearest neighbours (Å) after each atom.
Sites, in units of the cell vectors:
Ba1 0.0000 0.0000 0.0000  4 Ba 2.88
Sc1 0.0000 0.0000 0.5000  4 Sc 2.88, 8 Mo 2.92-3.12
Mo1 0.5000 0.5000 0.2821  4 Mo 2.88, 4 Sc 2.92-3.12
Mo2 0.5000 0.5000 0.7179  4 Mo 2.88, 4 Sc 2.92-3.12

## Properties
For the total magnetization, the calculation gives 0.000 μB/atom. The value obtained for the energy above the most stable polymorph in this dataset is 23.66 kJ/mol of atoms. The symmetry is Cmmm (65). The formation energy is 895 meV/atom. The density of states at the Fermi level comes out at 3.71 states/eV/cell.

=====

Compound: TaAs5
Source: the Alexandria database
Functional: GGA-PBEsol
Structure: relaxed

Cell lengths 4.9948, 4.9948, 5.4492 Å; angles 90.00, 90.00, 120.00 degrees
With the nearest neighbours (Å) after each atom.
Sites, in units of the cell vectors:
Ta1 0.0000 0.0000 0.0000  6 As 2.88
As1 0.0000 0.5000 0.5000  4 As 2.50
As2 0.3333 0.6667 0.0000  3 Ta 2.88, 9 As 2.88-3.08
As3 0.5000 0.0000 0.5000  4 As 2.50
As4 0.5000 0.5000 0.5000  4 As 2.50
As5 0.6667 0.3333 0.0000  3 Ta 2.88, 9 As 2.88-3.08

## Properties
For the total magnetization, the calculation gives 0.000 μB/atom. The value obtained for the energy above the most stable polymorph in this dataset is 61.57 kJ/mol of atoms. The symmetry is P6/mmm (191). The formation energy is 717 meV/atom. The density of states at the Fermi level comes out at 3.75 states/eV/cell.

=====

Compound: LiNi2W
Source: the Alexandria database
Functional: GGA-PBEsol
Structure: relaxed

Cell lengths 4.2747, 4.2747, 4.6941 Å; angles 96.83, 96.83, 34.54 degrees
With the nearest neighbours (Å) after each atom.
Sites, in units of the cell vectors:
Li1 0.0000 0.0000 0.0000  6 Ni 2.49-2.55, 2 Li 2.54, 4 W 2.67
Ni1 0.2517 0.2517 0.7512  3 W 2.47-2.57, 3 Li 2.49-2.55, 6 Ni 2.54-2.68
Ni2 0.7483 0.7483 0.2488  3 W 2.47-2.57, 3 Li 2.49-2.55, 6 Ni 2.54-2.68
W1 0.5000 0.5000 0.5000  6 Ni 2.47-2.57, 2 W 2.54, 4 Li 2.67

## Properties
For the total magnetization, the calculation gives 0.000 μB/atom. The symmetry is C2/m (12). The formation energy is 268 meV/atom. The density of states at the Fermi level comes out at 3.51 states/eV/cell.

=====

Compound: BeCuRh2
Source: the Alexandria database
Functional: GGA-PBEsol
Structure: relaxed

Cell lengths 4.0982, 4.0982, 4.0982 Å; angles 60.00, 60.00, 60.00 degrees
With the nearest neighbours (Å) after each atom.
Sites, in units of the cell vectors:
Be1 0.0000 0.0000 0.0000  4 Cu 2.51, 4 Rh 2.51
Cu1 0.2500 0.2500 0.2500  4 Rh 2.51, 4 Be 2.51
Rh1 0.5000 0.5000 0.5000  4 Rh 2.51, 4 Cu 2.51
Rh2 0.7500 0.7500 0.7500  4 Be 2.51, 4 Rh 2.51

## Properties
For the total magnetization, the calculation gives 0.253 μB/atom. The symmetry is F-43m (216). The formation energy is 63 meV/atom. The density of states at the Fermi level comes out at 4.57 states/eV/cell.

=====

Compound: Cd2GeOsPt
Source: the Alexandria database
Functional: GGA-PBEsol
Structure: relaxed

Cell lengths 5.0333, 5.0333, 4.5336 Å; angles 90.00, 90.00, 90.00 degrees
With the nearest neighbours (Å) after each atom.
Sites, in units of the cell vectors:
Cd1 0.0000 0.5000 0.0000  2 Pt 2.52
Cd2 0.5000 0.0000 0.0000  2 Pt 2.52
Ge1 0.0000 0.0000 0.5000  2 Pt 2.27
Os1 0.5000 0.5000 0.5000  8 Cd 3.39, 4 Ge 3.56
Pt1 0.0000 0.0000 0.0000  2 Ge 2.27, 4 Cd 2.52

## Properties
For the total magnetization, the calculation gives 0.475 μB/atom. The symmetry is P4/mmm (123). The formation energy is 1215 meV/atom. The density of states at the Fermi level comes out at 5.60 states/eV/cell.

=====

Number 1: total energy -28.234 eV for the cell shown, density 5.72 Mg/m³. Number 2: total energy -35.860 eV for the cell shown, density 10.87 Mg/m³. Number 3: total energy -25.921 eV for the cell shown, density 4.42 Mg/m³. Number 4: total energy -45.511 eV for the cell shown, density 16.28 Mg/m³. Number 5: total energy -28.591 eV for the cell shown, density 9.08 Mg/m³. Number 6: total energy -22.626 eV for the cell shown, density 16.95 Mg/m³. Number 7: total energy -11.274 eV for the cell shown, density 1.46 Mg/m³. Number 8: total energy -28.711 eV for the cell shown, density 7.41 Mg/m³. Number 9: total energy -33.780 eV for the cell shown, density 7.84 Mg/m³. Number 10: total energy -27.015 eV for the cell shown, density 10.61 Mg/m³. Number 11: total energy -24.358 eV for the cell shown, density 9.50 Mg/m³. Number 12: total energy -20.436 eV for the cell shown, density 9.87 Mg/m³.